Record 1
Computed, not measured: KNaSiAu after structural relaxation at the PBE level of DFT.

```
KNaSiAu
1.0
3.824 -2.215 0.000
3.824 2.215 0.000
-2.564 0.000 6.577
K Na Si Au
1 1 1 1
direct
0.000 0.000 0.000
0.197 0.197 0.589
0.450 0.450 0.350
0.785 0.785 0.355
```

**Size of the total moment**: 0.0 μB per formula unit
**Space-group type**: Cm, No. 8
**Density**: 4.28 g/cm³
**Formation energy from raw total energies**: -0.554 eV/f.u.
**Density of states at the Fermi level**: 1.9 states/eV per cell

Record 2
Computed, not measured: KNaSnAu after structural relaxation at the PBE level of DFT.

```
KNaSnAu
1.0
0.000 3.728 3.728
3.728 0.000 3.728
3.728 3.728 0.000
K Na Sn Au
1 1 1 1
direct
0.000 0.000 0.000
0.750 0.750 0.750
0.500 0.500 0.500
0.250 0.250 0.250
```

**Size of the total moment**: 0.0 μB per formula unit
**Space-group type**: F-43m, No. 216
**Electronic total energy**: -10.272 eV per cell
**Density**: 6.06 g/cm³
**Density of states at the Fermi level**: 2.0 states/eV per cell